Entry 1:
An optimized crystal structure of Li2Zn8Pt. Source: Alexandria, functional PBE-GGA.

Properties
- ΔE_f: -0.22 eV per atom
- DFT total energy: -2.044 eV/atom

Unit cell a=12.6867 b=4.3574 c=6.6928 alpha=90.00 beta=120.97 gamma=90.00
With the nearest neighbours (Å) after each atom.
Space group C2/m (No. 12)
Inequivalent atoms, fractional coordinates:
Li 0.2279 0.0000 0.1572 x4  8 Zn 2.59-2.75
Zn 0.0362 0.0000 0.2236 x4  7 Zn 2.64-2.67, 1 Li 2.69
Zn 0.1022 0.5000 0.9540 x4  4 Zn 2.60-2.86, 3 Li 2.62-2.63, 1 Pt 2.62
Zn 0.1434 0.0000 0.6873 x4  3 Li 2.60-2.75, 4 Zn 2.62-2.86, 2 Pt 2.70
Zn 0.1762 0.5000 0.3954 x4  1 Li 2.59, 6 Zn 2.60-2.74, 1 Pt 2.66
Pt 0.0000 0.5000 0.5000 x2  8 Zn 2.62-2.70

Entry 2:
An optimized crystal structure of ErThRu. Source: Alexandria, functional PBE-GGA.

Properties
- ΔE_f: -0.26 eV per atom
- Polymorph energy (0 for the lowest one): 82 meV/atom
- DFT total energy: -7.350 eV/atom

Unit cell a=3.4215 b=3.4215 c=13.0515 alpha=90.00 beta=90.00 gamma=90.00
With the nearest neighbours (Å) after each atom.
Space group I4mm (No. 107)
Inequivalent atoms, fractional coordinates:
Er 0.0000 0.0000 0.0000 x2  4 Ru 2.96
Th 0.0000 0.0000 0.7364 x2  4 Ru 2.98
Ru 0.0000 0.0000 0.3695 x2  4 Er 2.96, 4 Th 2.98

Entry 3:
An optimized crystal structure of TbPr2Te2O2. Source: Alexandria, functional PBE-GGA.

Properties
- ΔE_f (raw): -2.1735 eV/atom
- DFT total energy: -6.515 eV/atom

Unit cell a=4.4280 b=4.4280 c=16.7791 alpha=90.00 beta=90.00 gamma=90.00
With the nearest neighbours (Å) after each atom.
Space group I4/mmm (No. 139)
Inequivalent atoms, fractional coordinates:
Tb 0.0000 0.0000 0.0000 x2  4 O 2.21
Pr 0.0000 0.0000 0.3902 x4  4 O 2.88
Te 0.0000 0.0000 0.1829 x4  1 Tb 3.07, 4 Pr 3.36
O 0.0000 0.5000 0.0000 x4  2 Tb 2.21

Entry 4:
An optimized crystal structure of In5Ru. Source: Alexandria, functional PBE-GGA.

Properties
- ΔE_f: 0.57 eV per atom
- Polymorph energy (0 for the lowest one): 487 meV/atom
- DFT total energy: -3.260 eV/atom

Unit cell a=8.3316 b=8.3316 c=8.3316 alpha=90.00 beta=90.00 gamma=90.00
With the nearest neighbours (Å) after each atom.
Space group F-43m (No. 216)
Inequivalent atoms, fractional coordinates:
In 0.0000 0.0000 0.0000 x4  12 In 3.46, 4 Ru 3.61
In 0.1244 0.1244 0.6244 x16  6 In 2.93-2.96
Ru 0.2500 0.2500 0.2500 x4  16 In 3.45-3.61

Entry 5:
An optimized crystal structure of Li3La2MgNi12. Source: Alexandria, functional PBE-GGA.

Properties
- ΔE_f: 0.15 eV per atom
- DFT total energy: -4.656 eV/atom

Unit cell a=6.2190 b=6.2190 c=25.6883 alpha=90.00 beta=90.00 gamma=120.00
With the nearest neighbours (Å) after each atom.
Space group R-3m (No. 166, hexagonal axes)
Inequivalent atoms, fractional coordinates:
Li 0.0000 0.5000 0.0000 x9  6 Ni 2.33-2.54
La 0.0000 0.0000 0.1367 x6  6 Ni 2.76-2.90
Mg 0.0000 0.0000 0.5000 x3  6 Ni 2.83
Ni 0.0751 0.5376 0.9024 x18  4 Ni 2.41, 1 Li 2.54
Ni 0.0818 0.5409 0.6236 x18  2 Li 2.33, 6 Ni 2.35-2.59

Entry 6:
An optimized crystal structure of RbBaSeO4. Source: Alexandria, functional PBE-GGA.

Properties
- ΔE_f (raw): -1.3608 eV/atom
- DFT total energy: -5.105 eV/atom

Unit cell a=6.9172 b=7.6474 c=10.1977 alpha=90.00 beta=90.00 gamma=90.00
With the nearest neighbours (Å) after each atom.
Space group Imma (No. 74)
Inequivalent atoms, fractional coordinates:
Rb 0.2500 0.2500 0.2500 x4  6 O 2.80-2.97
Ba 0.0000 0.0000 0.0000 x4  6 O 2.71-2.83
Se 0.0000 0.2500 0.6261 x4  4 O 1.75-1.87
O 0.0000 0.0639 0.7264 x8  1 Se 1.75
O 0.2256 0.2500 0.5242 x8  1 Se 1.87